## PmSmZrIn (PBE)

Data for a relaxed PmSmZrIn crystal.

Cell: 5.438 5.438 5.438 Å, 60.00 60.00 60.00°
Element x y z (fractional)
Pm (0.000, 0.000, 0.000)
Sm (0.500, 0.500, 0.500)
Zr (0.750, 0.750, 0.750)
In (0.250, 0.250, 0.250)

**Crystal system**: cubic
**Space-group type**: F-43m (216)


## CrRe3Tc (PBE)

Data for a relaxed CrRe3Tc crystal.

Cell: 4.390 4.390 4.390 Å, 90.00 90.00 90.00°
Element x y z (fractional)
Cr (0.000, 0.000, 0.000)
Re (0.000, 0.000, 0.500)
Re (0.000, 0.500, 0.000)
Re (0.500, 0.000, 0.000)
Tc (0.500, 0.500, 0.500)

**Energy above the lowest structure with this stoichiometry**: 0.0 meV per atom
**Crystal system**: cubic
**Space-group type**: Pm-3m (221)


Q: Which uncorrected energy values were calculated for the entries above? A: -0.1925, -0.3614, in Ha/atom.